A plane-wave DFT calculation with PBE+U was carried out for an optimized crystal structure of AcMoO6.

Output
offset from the most stable computed form = 0.00 eV/f.u.
E = -6.966 eV per atom

Cell lengths 6.004, 5.899, 5.979 Å; angles 66.19, 79.74, 40.36 degrees
Site moments in Bohr magnetons follow the coordinates.
Fractional positions:
Mo 0.447 0.121 0.569  -0.01
Ac 0.975 0.054 0.030  0.00
O 0.453 0.780 0.773  0.00
O 0.694 0.067 0.759  0.00
O 0.894 0.390 0.279  0.38
O 0.014 0.558 0.573  0.00
O 0.570 0.714 0.280  0.42
O 0.455 0.318 0.237  0.01